1.
This record from Alexandria via LeMat-Bulk describes a geometry-optimized LaSmCoRh structure. The functional is GGA-PBE.

```
LaSmCoRh
1.0
7.031 0.000 0.000
0.000 7.031 0.000
0.000 0.000 7.031
La Sm Co Rh
4 4 4 4
Cartesian
0.000 0.000 0.000
0.000 3.515 3.515
3.515 0.000 3.515
3.515 3.515 0.000
0.000 0.000 3.515
0.000 3.515 0.000
3.515 0.000 0.000
3.515 3.515 3.515
1.758 1.758 5.273
1.758 5.273 1.758
5.273 1.758 1.758
5.273 5.273 5.273
1.758 1.758 1.758
1.758 5.273 5.273
5.273 1.758 5.273
5.273 5.273 1.758
```

Output
Energy relative to the elements ... -0.320 eV per atom
ρ ... 8.62 g/cm3
Magnetic moment ... 2.5 μB per cell
SG ... F-43m (216)

2.
This record from Alexandria via LeMat-Bulk describes a geometry-optimized RbNpN structure. The functional is GGA-PBE.

```
RbNpN
1.0
13.213 0.000 0.000
0.000 7.013 0.000
-1.237 0.000 4.259
Rb Np N
4 4 4
Cartesian
1.490 0.000 1.789
3.879 3.506 2.470
8.097 3.506 1.789
10.486 0.000 2.470
-0.009 3.506 3.665
5.378 0.000 0.593
6.597 0.000 3.665
11.985 3.506 0.593
0.754 3.506 1.707
4.615 0.000 2.552
7.361 0.000 1.707
11.221 3.506 2.552
```

Output
ρ ... 5.66 g/cm3
Raw formation energy ... -0.03 eV/atom
Magnetic moment ... 15.7 μB per cell
SG ... C2/m (12)

3.
This record from Alexandria via LeMat-Bulk describes a geometry-optimized ReSbW structure. The functional is GGA-PBE.

```
ReSbW
1.0
3.083 0.000 0.000
0.000 3.083 0.000
0.000 0.000 10.936
Re Sb W
2 2 2
Cartesian
0.000 0.000 0.000
1.541 1.541 5.468
0.000 0.000 7.321
1.541 1.541 1.853
0.000 0.000 3.832
1.541 1.541 9.300
```

Output
ρ ... 15.72 g/cm3
Raw formation energy ... 0.50 eV/atom
Relative energy among the computed polymorphs ... 159 meV per atom
Magnetic moment ... 0.0 μB per cell
SG ... I4mm (107)

4.
This record from Alexandria via LeMat-Bulk describes a geometry-optimized Na2BPd6 structure. The functional is GGA-PBE.

```
Na2BPd6
1.0
-2.918 2.918 4.109
2.918 -2.918 4.109
2.918 2.918 -4.109
Na B Pd
2 1 6
Cartesian
2.918 0.000 2.054
0.000 2.918 2.054
0.000 0.000 0.000
1.491 1.491 0.000
1.427 -1.427 4.109
0.000 0.000 2.108
0.000 0.000 6.110
-1.427 1.427 4.109
1.427 1.427 4.109
```

Output
Energy relative to the elements ... -0.232 eV per atom
ρ ... 8.25 g/cm3
Relative energy among the computed polymorphs ... 0 meV per atom
Magnetic moment ... 0.0 μB per cell
SG ... I4/mmm (139)

5.
This record from Alexandria via LeMat-Bulk describes a geometry-optimized Sr3EuCu structure. The functional is GGA-PBE.

```
Sr3EuCu
1.0
6.097 0.000 0.000
0.000 6.097 0.000
0.000 0.000 6.097
Sr Eu Cu
3 1 1
Cartesian
0.000 0.000 3.048
0.000 3.048 0.000
3.048 0.000 0.000
3.048 3.048 3.048
0.000 0.000 0.000
```

Output
Energy relative to the elements ... 0.023 eV per atom
ρ ... 3.51 g/cm3
Magnetic moment ... 7.3 μB per cell
SG ... Pm-3m (221)

6.
This record from Alexandria via LeMat-Bulk describes a geometry-optimized CeBi2PdO structure. The functional is GGA-PBE.

```
CeBi2PdO
1.0
3.963 0.000 0.000
0.000 3.963 0.000
0.000 0.000 15.609
Ce Bi Pd O
2 4 2 2
Cartesian
0.991 0.991 1.220
2.972 2.972 14.388
0.991 0.991 6.653
0.991 0.991 12.254
2.972 2.972 3.355
2.972 2.972 8.956
0.991 0.991 9.498
2.972 2.972 6.110
0.991 2.972 0.000
2.972 0.991 0.000
```

Output
ρ ... 9.22 g/cm3
Raw formation energy ... -1.32 eV/atom
Magnetic moment ... 1.1 μB per cell
SG ... P4/nmm (129)

7.
This record from Alexandria via LeMat-Bulk describes a geometry-optimized HoZrPd2 structure. The functional is GGA-PBE.

```
HoZrPd2
1.0
3.415 0.000 0.000
0.000 3.415 0.000
0.000 0.000 6.947
Ho Zr Pd
1 1 2
Cartesian
0.000 0.000 0.000
0.000 0.000 3.474
1.707 1.707 1.914
1.707 1.707 5.034
```

Output
Energy relative to the elements ... -0.721 eV per atom
ρ ... 9.61 g/cm3
Magnetic moment ... 0.0 μB per cell
SG ... P4/mmm (123)

8.
This record from Alexandria via LeMat-Bulk describes a geometry-optimized PuTl2HgSb2 structure. The functional is GGA-PBE.

```
PuTl2HgSb2
1.0
4.671 0.000 0.000
0.000 10.735 0.000
0.000 0.000 7.174
Pu Tl Hg Sb
2 4 2 4
Cartesian
0.000 0.284 0.000
0.000 10.451 3.587
0.000 3.558 5.177
0.000 7.176 1.590
2.336 5.102 3.101
2.336 5.633 6.687
2.336 1.720 2.195
2.336 9.015 5.782
0.000 3.199 1.415
0.000 7.536 5.002
2.336 1.261 5.224
2.336 9.474 1.637
```

Output
ρ ... 10.13 g/cm3
Raw formation energy ... -0.17 eV/atom
Magnetic moment ... 11.3 μB per cell
SG ... Pmc2_1 (26)

9.
This record from Alexandria via LeMat-Bulk describes a geometry-optimized La7TbEr2 structure. The functional is GGA-PBE.

```
La7TbEr2
1.0
6.113 -8.560 0.000
6.113 8.560 0.000
0.000 0.000 3.533
La Tb Er
7 1 2
Cartesian
0.000 0.000 0.000
2.993 2.230 0.000
6.113 5.475 1.766
2.993 -2.230 0.000
9.232 2.230 0.000
6.113 -5.475 1.766
9.232 -2.230 0.000
6.113 0.000 1.766
6.113 2.814 0.000
6.113 -2.814 0.000
```

Output
Energy relative to the elements ... 0.332 eV per atom
ρ ... 6.58 g/cm3
Relative energy among the computed polymorphs ... 0 meV per atom
Magnetic moment ... 0.0 μB per cell
SG ... Cmmm (65)

10.
This record from Alexandria via LeMat-Bulk describes a geometry-optimized GaCuRhO4 structure. The functional is GGA-PBE.

```
GaCuRhO4
1.0
-2.978 3.041 4.292
2.978 -3.041 4.292
2.978 3.041 -4.292
Ga Cu Rh O
2 2 2 8
Cartesian
-1.489 1.520 2.146
1.489 1.520 2.146
2.978 1.520 -1.112
0.000 1.520 5.403
0.000 0.000 0.000
0.000 3.041 0.000
1.374 1.520 0.118
1.604 -1.520 4.410
0.000 0.166 2.050
2.978 0.166 2.241
0.000 2.875 2.050
2.978 2.875 2.241
1.374 4.561 -0.118
1.604 1.520 4.174
```

Output
ρ ... 6.41 g/cm3
Raw formation energy ... -1.06 eV/atom
Magnetic moment ... 2.0 μB per cell
SG ... Imma (74)

11.
This record from Alexandria via LeMat-Bulk describes a geometry-optimized PmUCu2O8 structure. The functional is GGA-PBE.

```
PmUCu2O8
1.0
-2.653 2.653 5.228
2.653 -2.653 5.228
2.653 2.653 -5.228
Pm U Cu O
1 1 2 8
Cartesian
0.000 0.000 0.000
2.653 0.000 2.614
0.000 0.000 5.228
0.000 2.653 2.614
3.566 1.617 -3.017
2.118 0.941 0.493
1.713 -0.536 4.734
-0.913 1.036 2.210
0.941 3.189 -0.493
1.617 1.741 3.017
0.536 1.713 5.721
1.036 0.913 8.245
```

Output
ρ ... 7.20 g/cm3
Raw formation energy ... -1.74 eV/atom
Magnetic moment ... 1.1 μB per cell
SG ... I-4 (82)

12.
This record from Alexandria via LeMat-Bulk describes a geometry-optimized Li2Tl2Cd2In5 structure. The functional is GGA-PBE.

```
Li2Tl2Cd2In5
1.0
-2.240 2.240 14.815
2.240 -2.240 14.815
2.240 2.240 -14.815
Li Tl Cd In
2 2 2 5
Cartesian
0.000 0.000 4.668
0.000 0.000 24.962
0.000 0.000 7.653
0.000 0.000 21.978
0.000 0.000 10.540
0.000 0.000 19.090
0.000 0.000 0.000
2.240 0.000 2.187
2.240 0.000 12.629
0.000 2.240 2.187
0.000 2.240 12.629
```

Output
Energy relative to the elements ... 0.009 eV per atom
ρ ... 6.82 g/cm3
Magnetic moment ... 0.0 μB per cell
SG ... I4/mmm (139)

13.
This record from Alexandria via LeMat-Bulk describes a geometry-optimized PbBrCl2 structure. The functional is GGA-PBE.

```
PbBrCl2
1.0
4.260 0.000 0.000
-2.130 3.690 0.000
0.000 0.000 28.893
Pb Br Cl
3 3 6
Cartesian
0.000 0.000 0.000
0.000 2.460 19.262
2.130 1.230 9.631
0.000 0.000 14.446
0.000 2.460 4.815
2.130 1.230 24.077
0.000 0.000 8.066
0.000 0.000 20.827
0.000 2.460 11.196
0.000 2.460 27.327
2.130 1.230 1.565
2.130 1.230 17.696
```

Output
ρ ... 3.93 g/cm3
Raw formation energy ... -0.56 eV/atom
Relative energy among the computed polymorphs ... 123 meV per atom
Magnetic moment ... 3.1 μB per cell
SG ... R-3m (166)

14.
This record from Alexandria via LeMat-Bulk describes a geometry-optimized ThZrZnCd structure. The functional is GGA-PBE.

```
ThZrZnCd
1.0
3.276 0.000 0.000
0.000 3.276 0.000
0.000 0.000 8.540
Th Zr Zn Cd
1 1 1 1
Cartesian
0.000 0.000 0.000
0.000 0.000 4.589
1.638 1.638 6.352
1.638 1.638 2.491
```

Output
Energy relative to the elements ... -0.133 eV per atom
ρ ... 9.08 g/cm3
Relative energy among the computed polymorphs ... 0 meV per atom
Magnetic moment ... 0.0 μB per cell
SG ... P4mm (99)

15.
This record from Alexandria via LeMat-Bulk describes a geometry-optimized LuInNiPt structure. The functional is GGA-PBE.

```
LuInNiPt
1.0
6.592 0.000 0.000
0.000 6.592 0.000
0.000 0.000 6.592
Lu In Ni Pt
4 4 4 4
Cartesian
0.000 0.000 0.000
0.000 3.296 3.296
3.296 0.000 3.296
3.296 3.296 0.000
0.000 0.000 3.296
0.000 3.296 0.000
3.296 0.000 0.000
3.296 3.296 3.296
1.648 1.648 1.648
1.648 4.944 4.944
4.944 1.648 4.944
4.944 4.944 1.648
1.648 1.648 4.944
1.648 4.944 1.648
4.944 1.648 1.648
4.944 4.944 4.944
```

Output
Energy relative to the elements ... -0.695 eV per atom
ρ ... 12.60 g/cm3
Magnetic moment ... 0.0 μB per cell
SG ... F-43m (216)

16.
This record from Alexandria via LeMat-Bulk describes a geometry-optimized SmDyMgGa structure. The functional is GGA-PBE.

```
SmDyMgGa
1.0
7.376 0.000 0.000
0.000 7.376 0.000
0.000 0.000 7.376
Sm Dy Mg Ga
4 4 4 4
Cartesian
0.000 0.000 0.000
0.000 3.688 3.688
3.688 0.000 3.688
3.688 3.688 0.000
0.000 0.000 3.688
0.000 3.688 0.000
3.688 0.000 0.000
3.688 3.688 3.688
1.844 1.844 1.844
1.844 5.532 5.532
5.532 1.844 5.532
5.532 5.532 1.844
1.844 1.844 5.532
1.844 5.532 1.844
5.532 1.844 1.844
5.532 5.532 5.532
```

Output
Energy relative to the elements ... -0.341 eV per atom
ρ ... 6.74 g/cm3
Magnetic moment ... 0.0 μB per cell
SG ... F-43m (216)

17.
This record from Alexandria via LeMat-Bulk describes a geometry-optimized CeGe4Ru2 structure. The functional is GGA-PBE.

```
CeGe4Ru2
1.0
-3.890 3.890 4.065
3.890 -3.890 4.065
3.890 3.890 -4.065
Ce Ge Ru
2 8 4
Cartesian
0.000 0.000 0.000
0.000 3.890 2.032
5.005 -0.668 0.722
2.774 0.668 0.722
4.558 2.774 -1.311
3.221 -1.116 3.343
-0.668 1.116 2.754
4.558 1.116 3.343
2.774 3.221 1.311
1.116 0.668 5.375
1.945 2.573 -1.016
5.206 1.945 1.016
1.945 1.316 3.049
-1.316 1.945 5.081
```

Output
Energy relative to the elements ... -0.297 eV per atom
ρ ... 8.54 g/cm3
Magnetic moment ... 1.1 μB per cell
SG ... I-42d (122)

18.
This record from Alexandria via LeMat-Bulk describes a geometry-optimized In2BiSbO8 structure. The functional is GGA-PBE.

```
In2BiSbO8
1.0
3.411 -3.561 0.000
3.411 3.561 0.000
0.000 0.000 6.630
In Bi Sb O
2 1 1 8
Cartesian
0.000 0.000 1.614
0.000 0.000 5.016
3.411 0.000 3.315
3.411 0.000 0.000
1.319 0.000 3.315
1.419 0.000 0.000
3.411 1.327 1.567
3.411 1.327 5.063
3.411 -1.327 1.567
3.411 -1.327 5.063
5.403 0.000 0.000
5.503 0.000 3.315
```

Output
ρ ... 7.10 g/cm3
Raw formation energy ... -1.30 eV/atom
Magnetic moment ... 0.0 μB per cell
SG ... Cmmm (65)

19.
This record from Alexandria via LeMat-Bulk describes a geometry-optimized TcNiPtC2 structure. The functional is GGA-PBE.

```
TcNiPtC2
1.0
3.703 0.000 0.000
0.000 3.703 0.000
0.000 0.000 4.944
Tc Ni Pt C
1 1 1 2
Cartesian
0.000 0.000 0.000
1.851 1.851 2.472
1.851 1.851 0.000
0.000 1.851 2.472
1.851 0.000 2.472
```

Output
Energy relative to the elements ... 1.919 eV per atom
ρ ... 9.21 g/cm3
Magnetic moment ... 2.6 μB per cell
SG ... P4/mmm (123)

20.
This record from Alexandria via LeMat-Bulk describes a geometry-optimized Nd2TlS structure. The functional is GGA-PBE.

```
Nd2TlS
1.0
4.018 0.000 0.000
-2.009 3.480 0.000
0.000 0.000 24.283
Nd Tl S
6 3 3
Cartesian
0.000 0.000 5.705
0.000 0.000 18.578
0.000 2.320 10.483
0.000 2.320 21.893
2.009 1.160 2.389
2.009 1.160 13.799
0.000 0.000 0.000
0.000 2.320 16.188
2.009 1.160 8.094
0.000 0.000 12.141
0.000 2.320 4.047
2.009 1.160 20.235
```

Output
ρ ... 7.70 g/cm3
Raw formation energy ... -1.18 eV/atom
Relative energy among the computed polymorphs ... 0 meV per atom
Magnetic moment ... 0.0 μB per cell
SG ... R-3m (166)

Here are the calculated energy numbers, same order: -101.538; -89.353; -56.032; -42.564; -19.300; -60.934; -26.394; -57.317; -44.924; -83.411; -84.818; -23.989; -33.924; -18.688; -87.451; -61.225; -90.061; -68.738; -31.043; -62.269 (eV per cell).